1.
{"formula": "GdDyPt", "functional": "PBE", "state": "optimized geometry", "total_magnetization_mub_per_fu": 0.00, "de_polymorph_mev_per_atom": 0, "formation_energy_mev_per_atom": -114.9, "sg": "No. 216", "lattice_angstrom": [[0.0000, 3.3659, 3.3659], [3.3659, 0.0000, 3.3659], [3.3659, 3.3659, 0.0000]], "species": ["Gd", "Pt", "Dy"], "frac_coords": [[0.2500, 0.2500, 0.2500], [0.7500, 0.7500, 0.7500], [0.0000, 0.0000, 0.0000]]}

2.
{"formula": "KGdTe3Au", "functional": "PBE", "state": "optimized geometry", "total_magnetization_mub_per_fu": 0.02, "dft_energy_ev_per_atom": -3.9998, "sg": "No. 63", "lattice_angstrom": [[2.1425, -8.3456, 0.0000], [2.1425, 8.3456, 0.0000], [0.0000, 0.0000, 11.3341]], "species": ["K", "K", "Gd", "Gd", "Te", "Te", "Te", "Te", "Te", "Te", "Au", "Au"], "frac_coords": [[0.2591, 0.7409, 0.7500], [0.7409, 0.2591, 0.2500], [0.5000, 0.5000, 0.5000], [0.5000, 0.5000, 0.0000], [0.4208, 0.5792, 0.2500], [0.5792, 0.4208, 0.7500], [0.1305, 0.8695, 0.4451], [0.8695, 0.1305, 0.9451], [0.8695, 0.1305, 0.5549], [0.1305, 0.8695, 0.0549], [0.9693, 0.0307, 0.7500], [0.0307, 0.9693, 0.2500]]}

3.
{"formula": "Dy3Ho3FeBi2", "functional": "PBE", "state": "optimized geometry", "total_magnetization_mub_per_fu": 0.11, "de_polymorph_mev_per_atom": 17, "sg": "No. 189", "lattice_angstrom": [[-8.2851, -0.7497, 0.3755], [4.6853, -6.5658, -2.0696], [0.2769, -1.0607, 3.9920]], "species": ["Dy", "Dy", "Dy", "Ho", "Ho", "Ho", "Fe", "Bi", "Bi"], "frac_coords": [[0.2297, 0.0000, 0.5000], [0.0000, 0.2297, 0.5000], [0.7703, 0.7703, 0.5000], [0.6066, 0.0000, 0.0000], [0.0000, 0.6066, 0.0000], [0.3934, 0.3934, 0.0000], [0.0000, 0.0000, 0.0000], [0.3333, 0.6667, 0.5000], [0.6667, 0.3333, 0.5000]]}

4.
{"formula": "TlCdCl3", "functional": "PBE", "state": "optimized geometry", "dft_energy_ev_per_atom": -2.8091, "sg": "No. 15", "lattice_angstrom": [[6.1941, -3.7404, 0.0000], [6.1941, 3.7404, 0.0000], [-4.1915, 0.0000, 5.9724]], "species": ["Cl", "Cl", "Cl", "Cl", "Cl", "Cl", "Tl", "Tl", "Cd", "Cd"], "frac_coords": [[0.8380, 0.1620, 0.7500], [0.2884, 0.3077, 0.3074], [0.1620, 0.8380, 0.2500], [0.6923, 0.7116, 0.1926], [0.3077, 0.2884, 0.8074], [0.7116, 0.6923, 0.6926], [0.7349, 0.2651, 0.2500], [0.2651, 0.7349, 0.7500], [0.0000, 0.5000, 0.0000], [0.5000, 0.0000, 0.5000]]}

Copy entry 2 word for word.
{"formula": "KGdTe3Au", "functional": "PBE", "state": "optimized geometry", "total_magnetization_mub_per_fu": 0.02, "dft_energy_ev_per_atom": -3.9998, "sg": "No. 63", "lattice_angstrom": [[2.1425, -8.3456, 0.0000], [2.1425, 8.3456, 0.0000], [0.0000, 0.0000, 11.3341]], "species": ["K", "K", "Gd", "Gd", "Te", "Te", "Te", "Te", "Te", "Te", "Au", "Au"], "frac_coords": [[0.2591, 0.7409, 0.7500], [0.7409, 0.2591, 0.2500], [0.5000, 0.5000, 0.5000], [0.5000, 0.5000, 0.0000], [0.4208, 0.5792, 0.2500], [0.5792, 0.4208, 0.7500], [0.1305, 0.8695, 0.4451], [0.8695, 0.1305, 0.9451], [0.8695, 0.1305, 0.5549], [0.1305, 0.8695, 0.0549], [0.9693, 0.0307, 0.7500], [0.0307, 0.9693, 0.2500]]}